1.
Computed, not measured: a relaxed CeMo2H7 crystal at the GGA-PBE level of DFT.

As for the calculated volume: 9.1 Å³ per atom. The total DFT energy (no corrections) comes out at -5.17 eV/atom. The total moment comes out at 0.23 μB per formula unit.

It has space group Cmmm (No. 65), with a = 5.5309 Å, b = 8.8638 Å, c = 3.7103 Å, α = 90.00°, β = 90.00° and γ = 90.00°. The inequivalent atoms are Ce at (0.0000, 0.0000, 0.0000), Mo at (0.0000, 0.2973, 0.5000), H at (0.0000, 0.2685, 0.0000), H at (0.0000, 0.5000, 0.5000) and H at (0.1805, 0.1270, 0.5000).


2.
Computed, not measured: a relaxed Pm5Nd5Tm crystal at the GGA-PBE level of DFT.

As for the calculated volume: 35.5 Å³ per atom. The total DFT energy (no corrections) comes out at -4.43 eV/atom. The total moment comes out at 0.00 μB per formula unit. The calculation puts the energy of formation at 3.4 eV per formula unit.

It has space group P-6m2 (No. 187), with a = 6.2245 Å, b = 6.2245 Å, c = 11.6495 Å, α = 90.00°, β = 90.00° and γ = 120.00°. The inequivalent atoms are Pm at (0.0000, 0.0000, 0.0000), Pm at (0.3333, 0.6667, 0.3153), Pm at (0.6667, 0.3333, 0.1573), Nd at (0.0000, 0.0000, 0.2634), Nd at (0.3394, 0.1697, 0.5000) and Tm at (0.3333, 0.6667, 0.0000).


3.
Computed, not measured: a relaxed LiSb2SeI crystal at the GGA-PBE level of DFT.

As for the calculated volume: 26.7 Å³ per atom. The total DFT energy (no corrections) comes out at -2.68 eV/atom. For the offset from the most stable computed form, the calculation gives 0.002 eV per atom. The total moment comes out at 0.00 μB per formula unit. The value obtained for the formation energy without anion corrections is 0.3600 eV/atom.

It has space group P4/mmm (No. 123), with a = 5.2352 Å, b = 5.2352 Å, c = 4.8742 Å, α = 90.00°, β = 90.00° and γ = 90.00°. The inequivalent atoms are Li at (0.0000, 0.0000, 0.0000), Sb at (0.0000, 0.5000, 0.0000), Se at (0.5000, 0.5000, 0.5000) and I at (0.0000, 0.0000, 0.5000).


4.
Computed, not measured: a relaxed Gd4HPt2 crystal at the GGA-PBE level of DFT.

As for the calculated volume: 22.8 Å³ per atom. The total DFT energy (no corrections) comes out at -10.95 eV/atom. The total moment comes out at 29.61 μB per formula unit.

It has space group I4/mmm (No. 139), with a = 4.5637 Å, b = 4.5637 Å, c = 15.3166 Å, α = 90.00°, β = 90.00° and γ = 90.00°. The inequivalent atoms are Gd at (0.0000, 0.0000, 0.1851), Gd at (0.0000, 0.5000, 0.0000), H at (0.0000, 0.0000, 0.5000) and Pt at (0.0000, 0.0000, 0.3641).


5.
Computed, not measured: a relaxed Fe2AsAu crystal at the GGA-PBE level of DFT.

As for the calculated volume: 15.3 Å³ per atom. The total DFT energy (no corrections) comes out at -6.11 eV/atom. The total moment comes out at 4.96 μB per formula unit. The calculation puts the energy of formation at 0.4 eV per formula unit.

It has space group P4mm (No. 99), with a = 2.9936 Å, b = 2.9936 Å, c = 6.8318 Å, α = 90.00°, β = 90.00° and γ = 90.00°. The inequivalent atoms are Fe at (0.0000, 0.0000, 0.0000), Fe at (0.5000, 0.5000, 0.1952), As at (0.0000, 0.0000, 0.3947) and Au at (0.5000, 0.5000, 0.7494).


6.
Computed, not measured: a relaxed Th2MgAu crystal at the GGA-PBE level of DFT.

As for the calculated volume: 29.5 Å³ per atom. The total DFT energy (no corrections) comes out at -4.84 eV/atom. For the offset from the most stable computed form, the calculation gives 0.317 eV per atom. The total moment comes out at 0.00 μB per formula unit. The calculation puts the energy of formation at 0.3 eV per formula unit.

It has space group R-3m (No. 166, hexagonal axes), with a = 3.4165 Å, b = 3.4165 Å, c = 35.0514 Å, α = 90.00°, β = 90.00° and γ = 120.00°. The inequivalent atoms are Th at (0.0000, 0.0000, 0.0964), Mg at (0.0000, 0.0000, 0.0000) and Au at (0.0000, 0.0000, 0.5000).


7.
Computed, not measured: a relaxed K2Si2F crystal at the GGA-PBE level of DFT.

As for the calculated volume: 32.1 Å³ per atom. The total DFT energy (no corrections) comes out at -3.21 eV/atom. For the offset from the most stable computed form, the calculation gives 0.028 eV per atom. The total moment comes out at 0.00 μB per formula unit. The value obtained for the formation energy without anion corrections is -0.2265 eV/atom.

It has space group P4/mbm (No. 127), with a = 9.3829 Å, b = 9.3829 Å, c = 3.6470 Å, α = 90.00°, β = 90.00° and γ = 90.00°. The inequivalent atoms are K at (0.2132, 0.2868, 0.0000), Si at (0.0812, 0.5812, 0.5000) and F at (0.0000, 0.0000, 0.5000).


8.
Computed, not measured: a relaxed BaAg2As crystal at the GGA-PBE level of DFT.

As for the calculated volume: 27.0 Å³ per atom. The total DFT energy (no corrections) comes out at -3.34 eV/atom. The total moment comes out at 0.00 μB per formula unit. The calculation puts the energy of formation at -1.1 eV per formula unit.

It has space group C2/m (No. 12), with a = 8.2462 Å, b = 4.7520 Å, c = 6.1611 Å, α = 90.00°, β = 116.44° and γ = 90.00°. The inequivalent atoms are Ba at (0.0000, 0.0000, 0.0000), Ag at (0.2043, 0.0000, 0.6131) and As at (0.0000, 0.5000, 0.5000).


9.
Computed, not measured: a relaxed NaScO2 crystal at the GGA-PBE level of DFT.

As for the calculated volume: 10.1 Å³ per atom. The total DFT energy (no corrections) comes out at -6.61 eV/atom. The total moment comes out at 0.00 μB per formula unit. The value obtained for the formation energy without anion corrections is -2.2136 eV/atom.

It has space group Fm-3m (No. 225), with a = 5.4531 Å, b = 5.4531 Å, c = 5.4531 Å, α = 90.00°, β = 90.00° and γ = 90.00°. The inequivalent atoms are Na at (0.0000, 0.0000, 0.0000), Sc at (0.0000, 0.0000, 0.5000) and O at (0.2500, 0.2500, 0.2500).


10.
Computed, not measured: a relaxed CrAu2Cl crystal at the GGA-PBE level of DFT.

As for the calculated volume: 20.2 Å³ per atom. The total DFT energy (no corrections) comes out at -4.49 eV/atom. For the offset from the most stable computed form, the calculation gives 0.075 eV per atom. The total moment comes out at 3.89 μB per formula unit. The value obtained for the formation energy without anion corrections is 0.0139 eV/atom.

It has space group Cmm2 (No. 35), with a = 3.6002 Å, b = 4.9020 Å, c = 9.1602 Å, α = 90.00°, β = 90.00° and γ = 90.00°. The inequivalent atoms are Cr at (0.0000, 0.0000, 0.0000), Au at (0.0000, 0.0000, 0.5454), Au at (0.0000, 0.5000, 0.7853) and Cl at (0.0000, 0.5000, 0.1697).


11.
Computed, not measured: a relaxed CsMgV crystal at the GGA-PBE level of DFT.

As for the calculated volume: 39.9 Å³ per atom. The total DFT energy (no corrections) comes out at -2.91 eV/atom. For the offset from the most stable computed form, the calculation gives 0.453 eV per atom. The total moment comes out at 0.00 μB per formula unit. The calculation puts the energy of formation at 2.8 eV per formula unit.

It has space group P-6m2 (No. 187), with a = 5.6830 Å, b = 5.6830 Å, c = 8.5637 Å, α = 90.00°, β = 90.00° and γ = 120.00°. The inequivalent atoms are Cs at (0.0000, 0.0000, 0.0000), Cs at (0.0000, 0.0000, 0.5000), Mg at (0.6667, 0.3333, 0.1739) and V at (0.3333, 0.6667, 0.1061).


12.
Computed, not measured: a relaxed Y3Tm3Th crystal at the GGA-PBE level of DFT.

As for the calculated volume: 32.1 Å³ per atom. The total DFT energy (no corrections) comes out at -5.59 eV/atom. For the offset from the most stable computed form, the calculation gives 0.145 eV per atom. The total moment comes out at 0.00 μB per formula unit. The calculation puts the energy of formation at 1.1 eV per formula unit.

It has space group C2/m (No. 12), with a = 8.8392 Å, b = 9.7083 Å, c = 10.4911 Å, α = 90.00°, β = 90.92° and γ = 90.00°. The inequivalent atoms are Y at (0.0249, 0.0000, 0.2544), Y at (0.1938, 0.3211, 0.2475), Tm at (0.0000, 0.1822, 0.0000), Tm at (0.0000, 0.1921, 0.5000), Tm at (0.1772, 0.5000, 0.5613) and Th at (0.1662, 0.5000, 0.9198).


Q: Number 8 is which compound?
A: BaAg2As